Crystalline MnHClF2 at its relaxed geometry, computed with PBE with a Hubbard U.

Unit cell a=3.650 b=5.941 c=8.205 alpha=70.80 beta=90.00 gamma=90.00
Each line ends with the local moment (μB).
Sites, in units of the cell vectors:
Mn (0.250, 0.789, 0.683)  4.67
Mn (0.750, 0.211, 0.317)  4.67
H (0.250, 0.322, 0.603)  0.00
H (0.750, 0.678, 0.397)  0.00
Cl (0.250, 0.190, 0.130)  0.04
Cl (0.750, 0.810, 0.870)  0.04
F (0.750, 0.831, 0.484)  0.04
F (0.250, 0.169, 0.516)  0.04
F (0.750, 0.564, 0.326)  0.02
F (0.250, 0.436, 0.674)  0.02

The crystal system is monoclinic. As for the calculated total energy: -51.0 eV/cell.